[1]
## CaTcI2 (PBE)

Data for an optimized crystal structure of CaTcI2.

Values from the calculation:
Energy above the lowest structure with this stoichiometry in meV/atom: 135
Energy relative to the elements, uncorrected in meV per atom: 222
Uncorrected energy in eV per atom: -3.645

abc: 4.105 4.105 9.777
angles: 77.88 77.88 60.00
Last column: magnetic moment on the atom in μB.
Sites, in units of the cell vectors:
1 I 0.095 0.095 0.714  0.01
2 I 0.905 0.905 0.286  0.01
3 Ca 0.500 0.500 0.500  0.00
4 Tc 0.000 0.000 0.000  2.92

=====

[2]
## CaTcTeI2 (PBE)

Data for an optimized crystal structure of CaTcTeI2.

Values from the calculation:
Energy above the lowest structure with this stoichiometry in meV/atom: 0
Energy relative to the elements, uncorrected in meV per atom: -84
Uncorrected energy in eV per atom: -3.806

abc: 5.580 5.580 5.178
angles: 90.00 90.00 90.00
Last column: magnetic moment on the atom in μB.
Sites, in units of the cell vectors:
1 I 0.000 0.500 0.000  0.00
2 I 0.500 0.000 0.000  0.00
3 Ca 0.500 0.500 0.500  0.01
4 Te 0.000 0.000 0.500  0.01
5 Tc 0.000 0.000 0.000  0.45

=====

[3]
## CaTcTeI2 (PBE)

Data for an optimized crystal structure of CaTcTeI2.

Values from the calculation:
Energy above the lowest structure with this stoichiometry in meV/atom: 487
Energy relative to the elements, uncorrected in meV per atom: 403
Uncorrected energy in eV per atom: -3.319

abc: 5.833 5.833 6.191
angles: 90.00 90.00 90.00
Last column: magnetic moment on the atom in μB.
Sites, in units of the cell vectors:
1 I 0.000 0.500 0.000  0.05
2 I 0.500 0.000 0.000  0.05
3 Ca 0.000 0.000 0.000  0.00
4 Te 0.000 0.000 0.500  0.01
5 Tc 0.500 0.500 0.500  4.08

=====

[4]
## CaYTc2I (PBE)

Data for an optimized crystal structure of CaYTc2I.

Values from the calculation:
Energy relative to the elements, uncorrected in meV per atom: 1142
Uncorrected energy in eV per atom: -5.008

abc: 5.058 5.955 5.058
angles: 90.00 90.00 90.00
Last column: magnetic moment on the atom in μB.
Sites, in units of the cell vectors:
1 I 0.000 0.500 0.000  0.04
2 Y 0.000 0.000 0.000  -0.08
3 Ca 0.500 0.500 0.500  -0.03
4 Tc 0.000 0.000 0.500  1.64
5 Tc 0.500 0.000 0.000  2.21

=====

[5]
## CaTeI (PBE)

Data for an optimized crystal structure of CaTeI.

Values from the calculation:
Energy above the lowest structure with this stoichiometry in meV/atom: 238
Energy relative to the elements, uncorrected in meV per atom: -1045
Uncorrected energy in eV per atom: -3.276

abc: 4.718 4.718 6.683
angles: 90.00 90.00 120.00
Sites, in units of the cell vectors:
1 I 0.333 0.667 0.771
2 Ca 0.667 0.333 0.062
3 Te 0.333 0.667 0.280

=====

[6]
## CaTeI (PBE)

Data for an optimized crystal structure of CaTeI.

Values from the calculation:
Energy above the lowest structure with this stoichiometry in meV/atom: 182
Energy relative to the elements, uncorrected in meV per atom: -1101
Uncorrected energy in eV per atom: -3.332

abc: 4.489 4.492 6.377
angles: 108.01 108.13 90.49
Sites, in units of the cell vectors:
1 I 0.500 0.000 0.500
2 Ca 0.500 0.000 0.000
3 Te 0.000 0.500 0.000

=====

[7]
## CaTe2I (PBE)

Data for an optimized crystal structure of CaTe2I.

Values from the calculation:
Energy above the lowest structure with this stoichiometry in meV/atom: 119
Energy relative to the elements, uncorrected in meV per atom: -588
Uncorrected energy in eV per atom: -3.047

abc: 9.224 9.224 9.224
angles: 30.61 30.61 30.61
Sites, in units of the cell vectors:
1 I 0.000 0.000 0.000
2 Ca 0.500 0.500 0.500
3 Te 0.889 0.889 0.889
4 Te 0.111 0.111 0.111

=====

[8]
## Ca2Te2I (PBE)

Data for an optimized crystal structure of Ca2Te2I.

Values from the calculation:
Energy above the lowest structure with this stoichiometry in meV/atom: 12
Energy relative to the elements, uncorrected in meV per atom: -1195
Uncorrected energy in eV per atom: -3.562

abc: 5.838 5.838 6.795
angles: 64.56 64.56 90.00
Sites, in units of the cell vectors:
1 I 0.000 0.000 0.000
2 Ca 0.750 0.250 0.500
3 Ca 0.250 0.750 0.500
4 Te 0.350 0.350 0.300
5 Te 0.650 0.650 0.700

=====

[9]
## CaTeI (PBE)

Data for an optimized crystal structure of CaTeI.

Values from the calculation:
Energy above the lowest structure with this stoichiometry in meV/atom: 69
Energy relative to the elements, uncorrected in meV per atom: -1214
Uncorrected energy in eV per atom: -3.445

abc: 4.594 5.767 11.544
angles: 87.60 84.01 68.05
Sites, in units of the cell vectors:
1 I 0.309 0.795 0.658
2 I 0.691 0.205 0.342
3 Ca 0.772 0.778 0.830
4 Ca 0.228 0.222 0.170
5 Te 0.760 0.271 0.964
6 Te 0.240 0.729 0.036

=====

[10]
## CaTeI (PBE)

Data for an optimized crystal structure of CaTeI.

Values from the calculation:
Energy above the lowest structure with this stoichiometry in meV/atom: 80
Energy relative to the elements, uncorrected in meV per atom: -1203
Uncorrected energy in eV per atom: -3.434

abc: 4.538 6.036 8.354
angles: 80.02 83.77 88.10
Sites, in units of the cell vectors:
1 I 0.833 0.807 0.620
2 I 0.311 0.277 0.784
3 Ca 0.330 0.147 0.438
4 Ca 0.253 0.747 0.922
5 Te 0.837 0.415 0.207
6 Te 0.699 0.888 0.156

=====

[11]
## CaTeI (PBE)

Data for an optimized crystal structure of CaTeI.

Values from the calculation:
Energy above the lowest structure with this stoichiometry in meV/atom: 39
Energy relative to the elements, uncorrected in meV per atom: -1244
Uncorrected energy in eV per atom: -3.475

abc: 4.584 6.236 8.890
angles: 79.42 75.22 89.93
Sites, in units of the cell vectors:
1 I 0.899 0.255 0.271
2 I 0.255 0.692 0.549
3 Ca 0.880 0.751 0.295
4 Ca 0.074 0.430 0.904
5 Te 0.513 0.756 0.026
6 Te 0.625 0.142 0.801

=====

[12]
## CaTeI (PBE)

Data for an optimized crystal structure of CaTeI.

Values from the calculation:
Energy above the lowest structure with this stoichiometry in meV/atom: 273
Energy relative to the elements, uncorrected in meV per atom: -1010
Uncorrected energy in eV per atom: -3.241

abc: 3.747 3.751 8.746
angles: 90.00 90.77 90.00
Sites, in units of the cell vectors:
1 I 0.522 0.500 0.185
2 Ca 0.016 0.000 0.973
3 Te 0.508 0.500 0.729